No. 1
Entry from Alexandria: an optimized crystal structure of AcSb2H (PBE).

Summary:
magnetic moment: 0.0 Bohr magnetons per cell
energy above the most stable polymorph in this dataset: 0.909 eV per atom
calculated total energy: -0.1272 hartree per atom

Cell lengths 8.891, 8.891, 8.891 Å; angles 25.98, 25.98, 25.98 degrees
Atoms (fractional coordinates):
Ac1 0.000 0.000 0.000
Sb1 0.131 0.131 0.131
Sb2 0.869 0.869 0.869
H1 0.500 0.500 0.500

No. 2
Entry from Alexandria: an optimized crystal structure of Cs2BaPCl6 (PBE).

Summary:
magnetic moment: 1.0 Bohr magnetons per cell
calculated total energy: -0.1301 hartree per atom
formation energy from raw total energies: -1.529 eV per atom

Cell lengths 8.460, 8.460, 8.460 Å; angles 126.04, 126.04, 79.82 degrees
Atoms (fractional coordinates):
Cs1 0.250 0.750 0.500
Cs2 0.750 0.250 0.500
Ba1 0.000 0.000 0.000
P1 0.500 0.500 0.000
Cl1 0.231 0.231 0.000
Cl2 0.279 0.279 0.558
Cl3 0.279 0.721 0.000
Cl4 0.721 0.279 0.000
Cl5 0.721 0.721 0.442
Cl6 0.769 0.769 0.000

No. 3
Entry from Alexandria: an optimized crystal structure of ScCd4Te (PBE).

Summary:
magnetic moment: 0.0 Bohr magnetons per cell
calculated total energy: -0.0794 hartree per atom
formation energy from raw total energies: 0.028 eV per atom

Cell lengths 5.897, 5.897, 5.897 Å; angles 60.00, 60.00, 60.00 degrees
Atoms (fractional coordinates):
Sc1 0.000 0.000 0.000
Cd1 0.374 0.374 0.374
Cd2 0.374 0.374 0.877
Cd3 0.374 0.877 0.374
Cd4 0.877 0.374 0.374
Te1 0.750 0.750 0.750